# 1
Material: Th2Co5Ge4
Method: DFT, PBE
State: optimized geometry

abc: 5.478 9.461 13.812
angles: 90.00 90.00 90.00
Space group Fmmm (No. 69)
Inequivalent atoms, fractional coordinates:
Th1 0.000 0.000 0.137 [8 per cell]
Co1 0.000 0.000 0.500 [4 per cell]
Co2 0.250 0.250 0.000 [8 per cell]
Co3 0.250 0.250 0.250 [8 per cell]
Ge1 0.000 0.156 0.370 [16 per cell]

Computed properties:
Energy relative to the elements (eV/atom): -0.471
Fermi-level density of states (states/eV per atom): 0.690
Calculated volume (A^3/atom): 16.3
VASP energy (eV/atom): -6.73


# 2
Material: ThCoGe2
Method: DFT, PBE
State: optimized geometry

abc: 6.864 4.227 10.464
angles: 90.00 90.00 90.00
Space group Pnma (No. 62)
Inequivalent atoms, fractional coordinates:
Th1 0.182 0.250 0.131 [4 per cell]
Co1 0.009 0.750 0.360 [4 per cell]
Ge1 0.142 0.250 0.434 [4 per cell]
Ge2 0.147 0.250 0.834 [4 per cell]

Computed properties:
Energy relative to the elements (eV/atom): -0.657
Fermi-level density of states (states/eV per atom): 0.519
Calculated volume (A^3/atom): 19.0
VASP energy (eV/atom): -6.60


# 3
Material: ThCo4Ge4
Method: DFT, PBE
State: optimized geometry

abc: 8.003 8.003 4.563
angles: 90.00 90.00 90.00
Space group I4/m (No. 87)
Inequivalent atoms, fractional coordinates:
Th1 0.000 0.000 0.000 [2 per cell]
Co1 0.168 0.694 0.000 [8 per cell]
Ge1 0.106 0.629 0.500 [8 per cell]

Computed properties:
Energy relative to the elements (eV/atom): -0.209
Fermi-level density of states (states/eV per atom): 0.843
Calculated volume (A^3/atom): 16.2
VASP energy (eV/atom): -6.24


# 4
Material: Th4CoGe
Method: DFT, PBE
State: optimized geometry

abc: 9.162 9.162 8.926
angles: 90.00 90.00 90.00
Space group I4_1md (No. 109)
Inequivalent atoms, fractional coordinates:
Th1 0.000 0.304 0.000 [8 per cell]
Th2 0.000 0.315 0.455 [8 per cell]
Co1 0.000 0.000 0.966 [4 per cell]
Ge1 0.000 0.000 0.485 [4 per cell]

Computed properties:
Energy relative to the elements (eV/atom): -0.046
Fermi-level density of states (states/eV per atom): 1.313
Calculated volume (A^3/atom): 31.2
VASP energy (eV/atom): -6.95


# 5
Material: Th2Co3Ge2
Method: DFT, PBE
State: optimized geometry

abc: 5.3818 5.3818 15.4024
angles: 90.00 90.00 120.00
Space group R-3m (No. 166, hexagonal axes)
Inequivalent atoms, fractional coordinates:
Th1 0.0000 0.0000 0.0000 [3 per cell]
Th2 0.0000 0.0000 0.5000 [3 per cell]
Co1 0.0000 0.5000 0.0000 [9 per cell]
Ge1 0.0000 0.0000 0.2150 [6 per cell]

Computed properties:
Energy relative to the elements (eV/atom): -0.486
Fermi-level density of states (states/eV per atom): 0.877
Calculated volume (A^3/atom): 18.4
VASP energy (eV/atom): -6.97


# 6
Material: Th2CoGe
Method: DFT, PBE
State: optimized geometry

abc: 3.8531 3.8531 27.5675
angles: 90.00 90.00 120.00
Space group R-3m (No. 166, hexagonal axes)
Inequivalent atoms, fractional coordinates:
Th1 0.0000 0.0000 0.1105 [6 per cell]
Co1 0.0000 0.0000 0.5000 [3 per cell]
Ge1 0.0000 0.0000 0.0000 [3 per cell]

Computed properties:
Energy relative to the elements (eV/atom): 0.111
Fermi-level density of states (states/eV per atom): 0.939
Calculated volume (A^3/atom): 29.5
VASP energy (eV/atom): -6.53